VASP calculation (GGA-PBE) on a relaxed PrEr2Sc crystal.

Output
Density of states at the Fermi level in states/eV/cell: 6.83
ΔE_f in meV per atom: 52
Offset from the most stable computed form in meV/atom: 22.9

Lattice parameters (Å, degrees): 3.5076 3.5076 9.8959 90.00 90.00 90.00
Closest atoms and distances in Å follow each position.
Sites, in units of the cell vectors:
Pr 0.5000 0.5000 0.5000  4 Pr 3.51, 8 Er 3.63
Sc 0.5000 0.5000 0.0000  8 Er 3.38, 4 Sc 3.51
Er 0.0000 0.0000 0.7675  4 Sc 3.38, 4 Er 3.51, 4 Pr 3.63
Er 0.0000 0.0000 0.2325  4 Sc 3.38, 4 Er 3.51, 4 Pr 3.63

***

VASP calculation (GGA-PBE) on a relaxed KPa2Co2N6 crystal.

Output
Density of states at the Fermi level in states/eV/cell: 9.17
Formation energy from raw total energies in eV/atom: -0.464

Lattice parameters (Å, degrees): 6.2367 6.1136 6.4614 118.77 87.64 63.99
Closest atoms and distances in Å follow each position.
Sites, in units of the cell vectors:
K 0.5000 0.0000 0.5000  4 N 2.75-2.80
Pa 0.8226 0.3683 0.8104  6 N 2.23-2.36
Pa 0.1774 0.6317 0.1896  6 N 2.23-2.36
Co 0.1829 0.7625 0.8039  3 N 1.76-1.81
Co 0.8171 0.2375 0.1961  3 N 1.76-1.81
N 0.3986 0.7209 0.9697  1 Co 1.76
N 0.9311 0.4485 0.1643  1 Co 1.81
N 0.1503 0.8724 0.5943  1 Co 1.76
N 0.0689 0.5515 0.8357  1 Co 1.81
N 0.8497 0.1276 0.4057  1 Co 1.76
N 0.6014 0.2791 0.0303  1 Co 1.76

***

VASP calculation (GGA-PBE) on a relaxed PaPdS2 crystal.

Output
Density of states at the Fermi level in states/eV/cell: 2.98
Offset from the most stable computed form in meV/atom: 150.1
Formation energy from raw total energies in eV/atom: -1.002

Lattice parameters (Å, degrees): 3.9668 3.9668 6.6626 72.68 72.68 60.00
Closest atoms and distances in Å follow each position.
Sites, in units of the cell vectors:
Pa 0.4894 0.4894 0.5319  6 S 2.78-2.83
Pd 0.7029 0.7029 0.8913  3 S 2.37
S 0.0677 0.0677 0.7969  3 Pd 2.37
S 0.2400 0.2400 0.2799  3 Pa 2.78

***

VASP calculation (GGA-PBE) on a relaxed Ca7Tl2Au crystal.

Output
Density of states at the Fermi level in states/eV/cell: 15.15
ΔE_f in meV per atom: -351

Lattice parameters (Å, degrees): 8.9448 9.9247 9.5631 67.65 62.12 63.22
Closest atoms and distances in Å follow each position.
Sites, in units of the cell vectors:
Ca 0.6886 0.5339 0.8596  1 Au 3.02, 2 Tl 3.33-3.35, 1 Ca 3.35
Ca 0.9179 0.0339 0.3596  1 Au 3.02, 2 Tl 3.33-3.35, 1 Ca 3.35
Ca 0.2586 0.9009 0.9246  2 Au 3.15-3.52, 1 Tl 3.38, 1 Ca 3.47
Ca 0.3876 0.2029 0.5186  1 Au 3.10, 2 Tl 3.38-3.42
Ca 0.5873 0.2500 0.7500  2 Tl 3.24, 2 Ca 3.53, 1 Au 3.62
Ca 0.9159 0.4009 0.4246  2 Au 3.15-3.52, 1 Tl 3.38, 1 Ca 3.47
Ca 0.1091 0.2971 0.9814  1 Au 3.10, 2 Tl 3.38-3.42
Ca 0.8909 0.7029 0.0186  1 Au 3.10, 2 Tl 3.38-3.42
Ca 0.0841 0.5991 0.5754  2 Au 3.15-3.52, 1 Tl 3.38, 1 Ca 3.47
Ca 0.4127 0.7500 0.2500  2 Tl 3.24, 2 Ca 3.53, 1 Au 3.62
Ca 0.6124 0.7971 0.4814  1 Au 3.10, 2 Tl 3.38-3.42
Ca 0.7414 0.0991 0.0754  2 Au 3.15-3.52, 1 Tl 3.38, 1 Ca 3.47
Ca 0.0821 0.9661 0.6404  1 Au 3.02, 2 Tl 3.33-3.35, 1 Ca 3.35
Ca 0.3114 0.4661 0.1404  1 Au 3.02, 2 Tl 3.33-3.35, 1 Ca 3.35
Tl 0.6886 0.8952 0.7428  8 Ca 3.24-3.55
Tl 0.6734 0.3952 0.2428  8 Ca 3.24-3.55
Tl 0.3266 0.6048 0.7572  8 Ca 3.24-3.55
Tl 0.3114 0.1048 0.2572  8 Ca 3.24-3.55
Au 0.9919 0.2500 0.7500  6 Ca 3.02-3.15
Au 0.0081 0.7500 0.2500  6 Ca 3.02-3.15

***

VASP calculation (GGA-PBE) on a relaxed NaTi4S8 crystal.

Output
Density of states at the Fermi level in states/eV/cell: 4.67
Offset from the most stable computed form in meV/atom: 108.6
Formation energy from raw total energies in eV/atom: -1.241

Lattice parameters (Å, degrees): 7.2602 7.2602 7.2602 60.00 60.00 60.00
Closest atoms and distances in Å follow each position.
Sites, in units of the cell vectors:
Na 0.7500 0.7500 0.7500  4 S 2.49
Ti 0.8876 0.3708 0.3708  6 S 2.45-2.47
Ti 0.3708 0.8876 0.3708  6 S 2.45-2.47
Ti 0.3708 0.3708 0.8876  6 S 2.45-2.47
Ti 0.3708 0.3708 0.3708  6 S 2.45-2.47
S 0.6028 0.1324 0.1324  3 Ti 2.45
S 0.1324 0.6028 0.1324  3 Ti 2.45
S 0.1324 0.1324 0.6028  3 Ti 2.45
S 0.1324 0.1324 0.1324  3 Ti 2.45
S 0.1707 0.6098 0.6098  3 Ti 2.47, 1 Na 2.49
S 0.6098 0.1707 0.6098  3 Ti 2.47, 1 Na 2.49
S 0.6098 0.6098 0.1707  3 Ti 2.47, 1 Na 2.49
S 0.6098 0.6098 0.6098  3 Ti 2.47, 1 Na 2.49

***

VASP calculation (GGA-PBE) on a relaxed TbEr6Th3 crystal.

Output
Density of states at the Fermi level in states/eV/cell: 19.20
ΔE_f in meV per atom: 365
Offset from the most stable computed form in meV/atom: 285.1

Lattice parameters (Å, degrees): 9.7975 9.7975 6.9076 44.83 44.83 60.00
Closest atoms and distances in Å follow each position.
Sites, in units of the cell vectors:
Tb 0.8501 0.8501 0.4498  2 Th 2.96
Er 0.9306 0.5984 0.2047  2 Th 3.25-3.42, 1 Tb 3.41
Er 0.2663 0.9306 0.2047  2 Th 3.25-3.42, 1 Tb 3.41
Er 0.5984 0.2663 0.2047  2 Th 3.25-3.42, 1 Tb 3.41
Er 0.1014 0.4337 0.6956  2 Th 3.25-3.42, 1 Tb 3.41
Er 0.7693 0.1014 0.6956  2 Th 3.25-3.42, 1 Tb 3.41
Er 0.4337 0.7693 0.6956  2 Th 3.25-3.42, 1 Tb 3.41
Th 0.3501 0.3501 0.9497  2 Th 2.99
Th 0.6014 0.6014 0.1957  1 Tb 2.96, 1 Th 2.99, 3 Er 3.25
Th 0.0987 0.0987 0.7039  1 Tb 2.96, 1 Th 2.99, 3 Er 3.25

***

VASP calculation (GGA-PBE) on a relaxed LaAuBr2 crystal.

Output
Density of states at the Fermi level in states/eV/cell: 0.00
Offset from the most stable computed form in meV/atom: 0.0
Formation energy from raw total energies in eV/atom: -1.302

Lattice parameters (Å, degrees): 5.6319 5.6319 7.7638 68.01 68.01 43.25
Closest atoms and distances in Å follow each position.
Sites, in units of the cell vectors:
Au 0.2123 0.2123 0.3040  3 La 3.07-3.15, 3 Br 3.29-3.33
Br 0.9816 0.9816 0.1149  2 La 3.02, 3 Au 3.29-3.33
Br 0.8282 0.8282 0.6817  2 La 2.97
La 0.4779 0.4779 0.3994  4 Br 2.97-3.02, 3 Au 3.07-3.15

***

VASP calculation (GGA-PBE) on a relaxed Ti4Si2C crystal.

Output
Density of states at the Fermi level in states/eV/cell: 12.45
Offset from the most stable computed form in meV/atom: 0.0
Formation energy from raw total energies in eV/atom: -0.642

Lattice parameters (Å, degrees): 3.0771 6.8986 9.6248 90.00 90.00 90.00
Closest atoms and distances in Å follow each position.
Sites, in units of the cell vectors:
Ti 0.0000 0.6373 0.8069  1 C 2.09
Ti 0.0000 0.3627 0.1931  1 C 2.09
Ti 0.0000 0.1373 0.6931  1 C 2.09
Ti 0.0000 0.8627 0.3069  1 C 2.09
Ti 0.5000 0.8177 0.5715  2 C 2.10
Ti 0.5000 0.1823 0.4285  2 C 2.10
Ti 0.5000 0.6823 0.0715  2 C 2.10
Ti 0.5000 0.3177 0.9285  2 C 2.10
Si 0.5000 0.9396 0.8628  7 Ti 2.63-2.93, 1 Si 2.77
Si 0.5000 0.0604 0.1372  7 Ti 2.63-2.93, 1 Si 2.77
Si 0.5000 0.4396 0.6372  7 Ti 2.63-2.93, 1 Si 2.77
Si 0.5000 0.5604 0.3628  7 Ti 2.63-2.93, 1 Si 2.77
C 0.0000 0.0000 0.5000  6 Ti 2.09-2.10
C 0.0000 0.5000 0.0000  6 Ti 2.09-2.10

***

Q: Number 8 is which compound?
A: Ti4Si2C